[1]
First-principles (PBE) data for a relaxed TaCuAu2 crystal, as listed in the Alexandria database.

CIF file:
```
data_TaCuAu2
_cell_length_a 4.949
_cell_length_b 2.815
_cell_length_c 5.044
_cell_angle_alpha 90.00
_cell_angle_beta 106.39
_cell_angle_gamma 90.00
_space_group_name_H-M_alt 'P 1 2/m 1'
_space_group_IT_number 10
_space_group_name_Hall '-P 2y'
loop_
_atom_site_label
_atom_site_fract_x
_atom_site_fract_y
_atom_site_fract_z
Ta1 0.000 0.000 0.000
Cu1 0.000 0.500 0.500
Au1 0.500 0.000 0.500
Au2 0.500 0.500 0.000
```

* N(E_F): 3.36 states/eV/f.u.
* E_form: 213 meV/atom
* DFT total energy: -5.413 eV per atom

[2]
First-principles (PBE) data for a relaxed Ta2CuAu crystal, as listed in the Alexandria database.

CIF file:
```
data_Ta2CuAu
_cell_length_a 2.841
_cell_length_b 2.841
_cell_length_c 8.239
_cell_angle_alpha 90.00
_cell_angle_beta 90.00
_cell_angle_gamma 90.00
_space_group_name_H-M_alt 'P 4 m m'
_space_group_IT_number 99
_space_group_name_Hall 'P 4 -2'
loop_
_atom_site_label
_atom_site_fract_x
_atom_site_fract_y
_atom_site_fract_z
Ta1 0.000 0.000 0.000
Ta2 0.500 0.500 0.275
Cu1 0.500 0.500 0.769
Au1 0.000 0.000 0.537
```

* N(E_F): 3.37 states/eV/f.u.
* E_form: -15 meV/atom
* DFT total energy: -7.785 eV per atom

[3]
First-principles (PBE) data for a relaxed TaCuAu2 crystal, as listed in the Alexandria database.

CIF file:
```
data_TaCuAu2
_cell_length_a 9.421
_cell_length_b 2.849
_cell_length_c 5.016
_cell_angle_alpha 90.00
_cell_angle_beta 98.43
_cell_angle_gamma 90.00
_space_group_name_H-M_alt 'C 1 m 1'
_space_group_IT_number 8
_space_group_name_Hall 'C -2y'
loop_
_atom_site_label
_atom_site_fract_x
_atom_site_fract_y
_atom_site_fract_z
Ta1 0.000 0.000 0.000
Cu1 0.244 0.500 0.257
Au1 0.252 0.000 0.779
Au2 0.494 0.000 0.487
```

* N(E_F): 2.27 states/eV/f.u.
* E_form: 45 meV/atom
* DFT total energy: -5.581 eV per atom

[4]
First-principles (PBE) data for a relaxed Ta2CuAu crystal, as listed in the Alexandria database.

CIF file:
```
data_Ta2CuAu
_cell_length_a 4.009
_cell_length_b 4.009
_cell_length_c 4.104
_cell_angle_alpha 90.00
_cell_angle_beta 90.00
_cell_angle_gamma 90.00
_space_group_name_H-M_alt 'P 4/m m m'
_space_group_IT_number 123
_space_group_name_Hall '-P 4 2'
loop_
_atom_site_label
_atom_site_fract_x
_atom_site_fract_y
_atom_site_fract_z
Ta1 0.000 0.500 0.000
Cu1 0.000 0.000 0.500
Au1 0.500 0.500 0.500
```

* N(E_F): 3.41 states/eV/f.u.
* E_form: 41 meV/atom
* DFT total energy: -7.729 eV per atom

[5]
First-principles (PBE) data for a relaxed TaCuAu2 crystal, as listed in the Alexandria database.

CIF file:
```
data_TaCuAu2
_cell_length_a 2.967
_cell_length_b 2.967
_cell_length_c 7.458
_cell_angle_alpha 90.00
_cell_angle_beta 90.00
_cell_angle_gamma 90.00
_space_group_name_H-M_alt 'P 4/m m m'
_space_group_IT_number 123
_space_group_name_Hall '-P 4 2'
loop_
_atom_site_label
_atom_site_fract_x
_atom_site_fract_y
_atom_site_fract_z
Ta1 0.000 0.000 0.000
Cu1 0.000 0.000 0.500
Au1 0.500 0.500 0.266
```

* N(E_F): 2.70 states/eV/f.u.
* E_form: -35 meV/atom
* DFT total energy: -5.661 eV per atom

[6]
First-principles (PBE) data for a relaxed TaCuAu2 crystal, as listed in the Alexandria database.

CIF file:
```
data_TaCuAu2
_cell_length_a 2.894
_cell_length_b 2.894
_cell_length_c 7.907
_cell_angle_alpha 90.00
_cell_angle_beta 90.00
_cell_angle_gamma 90.00
_space_group_name_H-M_alt 'P 4 m m'
_space_group_IT_number 99
_space_group_name_Hall 'P 4 -2'
loop_
_atom_site_label
_atom_site_fract_x
_atom_site_fract_y
_atom_site_fract_z
Ta1 0.000 0.000 0.000
Cu1 0.500 0.500 0.770
Au1 0.000 0.000 0.542
Au2 0.500 0.500 0.261
```

* N(E_F): 1.80 states/eV/f.u.
* E_form: -9 meV/atom
* DFT total energy: -5.635 eV per atom

[7]
First-principles (PBE) data for a relaxed TaCuAu2 crystal, as listed in the Alexandria database.

CIF file:
```
data_TaCuAu2
_cell_length_a 2.9487
_cell_length_b 2.9487
_cell_length_c 26.7329
_cell_angle_alpha 90.00
_cell_angle_beta 90.00
_cell_angle_gamma 120.00
_space_group_name_H-M_alt 'R -3 m'
_space_group_IT_number 166
_space_group_name_Hall '-R 3 2"'
loop_
_atom_site_label
_atom_site_fract_x
_atom_site_fract_y
_atom_site_fract_z
Ta1 0.0000 0.0000 0.0000
Cu1 0.0000 0.0000 0.5000
Au1 0.0000 0.0000 0.2451
```

* N(E_F): 3.55 states/eV/f.u.
* E_form: 64 meV/atom
* DFT total energy: -5.562 eV per atom

[8]
First-principles (PBE) data for a relaxed Ta2CuAu crystal, as listed in the Alexandria database.

CIF file:
```
data_Ta2CuAu
_cell_length_a 5.671
_cell_length_b 8.169
_cell_length_c 2.865
_cell_angle_alpha 90.00
_cell_angle_beta 90.00
_cell_angle_gamma 90.00
_space_group_name_H-M_alt 'C m m m'
_space_group_IT_number 65
_space_group_name_Hall '-C 2 2'
loop_
_atom_site_label
_atom_site_fract_x
_atom_site_fract_y
_atom_site_fract_z
Ta1 0.250 0.250 0.000
Cu1 0.000 0.000 0.500
Au1 0.000 0.500 0.500
```

* N(E_F): 2.84 states/eV/f.u.
* E_form: 77 meV/atom
* DFT total energy: -7.693 eV per atom